Record 1
Entry from Alexandria: crystalline Cs3SmBi2O8 at its relaxed geometry (GGA-PBE).

The mass density is 5.7 g/cm³. The uncorrected formation energy is -1.508 eV/atom. The value obtained for the calculated volume is 22.71 Å³/atom.

The space group is P-3m1 (No. 164) and the conventional cell measures 6.5486, 6.5486 and 8.5608 Å, with angles of 90.00, 90.00 and 120.00 degrees. The inequivalent atoms are Cs at (0.0000, 0.0000, 0.0000), Cs at (0.3333, 0.6667, 0.6907), Sm at (0.0000, 0.0000, 0.5000), Bi at (0.3333, 0.6667, 0.2485), O at (0.1657, 0.3314, 0.3386) and O at (0.3333, 0.6667, 0.0154).

---

Record 2
Entry from Alexandria: crystalline Ac3SnC at its relaxed geometry (GGA-PBE).

The mass density is 8.3 g/cm³. The formation energy is -267 meV per atom. The value obtained for the calculated volume is 32.38 Å³/atom.

The space group is Pm-3m (No. 221) and the conventional cell measures 5.450, 5.450 and 5.450 Å, with angles of 90.00, 90.00 and 90.00 degrees. The inequivalent atoms are Ac at (0.000, 0.000, 0.500), Sn at (0.500, 0.500, 0.500) and C at (0.000, 0.000, 0.000).

---

Record 3
Entry from Alexandria: crystalline Ac2SmRe2N6 at its relaxed geometry (GGA-PBE).

The mass density is 9.3 g/cm³. The uncorrected formation energy is -0.766 eV/atom. The value obtained for the calculated volume is 17.28 Å³/atom.

The space group is R-3m (No. 166, hexagonal axes) and the conventional cell measures 5.9309, 5.9309 and 18.7155 Å, with angles of 90.00, 90.00 and 120.00 degrees. The inequivalent atoms are Ac at (0.0000, 0.0000, 0.2122), Sm at (0.0000, 0.0000, 0.0000), Re at (0.0000, 0.0000, 0.4026) and N at (0.0057, 0.5028, 0.7623).

---

Record 4
Entry from Alexandria: crystalline NbV2PtC at its relaxed geometry (GGA-PBE).

The mass density is 9.8 g/cm³. The formation energy is -418 meV per atom. The value obtained for the calculated volume is 13.59 Å³/atom.

The space group is P4/mmm (No. 123) and the conventional cell measures 3.981, 3.981 and 4.288 Å, with angles of 90.00, 90.00 and 90.00 degrees. The inequivalent atoms are Nb at (0.000, 0.000, 0.000), V at (0.000, 0.500, 0.500), Pt at (0.500, 0.500, 0.000) and C at (0.000, 0.000, 0.500).

---

Record 5
Entry from Alexandria: crystalline BeIn3Mo at its relaxed geometry (GGA-PBE).

The mass density is 5.0 g/cm³. The formation energy is 1110 meV per atom. The value obtained for the calculated volume is 30.06 Å³/atom. The value obtained for the energy above the most stable polymorph in this dataset is 0.1652 eV/atom.

The space group is Pm-3m (No. 221) and the conventional cell measures 5.317, 5.317 and 5.317 Å, with angles of 90.00, 90.00 and 90.00 degrees. The inequivalent atoms are Be at (0.000, 0.000, 0.000), In at (0.000, 0.500, 0.500) and Mo at (0.500, 0.500, 0.500).

---

Record 6
Entry from Alexandria: crystalline Ba2AcTlS5 at its relaxed geometry (GGA-PBE).

The mass density is 5.4 g/cm³. The uncorrected formation energy is -1.575 eV/atom. The value obtained for the calculated volume is 29.68 Å³/atom.

The space group is Cmc2_1 (No. 36) and the conventional cell measures 4.329, 18.925 and 13.041 Å, with angles of 90.00, 90.00 and 90.00 degrees. The inequivalent atoms are Ba at (0.000, 0.113, 0.000), Ba at (0.000, 0.129, 0.632), Ac at (0.000, 0.211, 0.333), Tl at (0.000, 0.458, 0.762), S at (0.000, 0.046, 0.374), S at (0.000, 0.289, 0.987), S at (0.000, 0.322, 0.681), S at (0.000, 0.363, 0.319) and S at (0.000, 0.493, 0.085).

---

Record 7
Entry from Alexandria: crystalline FeReMo2Os at its relaxed geometry (GGA-PBE).

The mass density is 10.2 g/cm³. The formation energy is 2238 meV per atom. The value obtained for the calculated volume is 20.38 Å³/atom.

The space group is P4/mmm (No. 123) and the conventional cell measures 4.670, 4.670 and 4.674 Å, with angles of 90.00, 90.00 and 90.00 degrees. The inequivalent atoms are Fe at (0.000, 0.000, 0.000), Re at (0.500, 0.500, 0.000), Mo at (0.000, 0.500, 0.500) and Os at (0.500, 0.500, 0.500).

---

Record 8
Entry from Alexandria: crystalline Er7Cu3 at its relaxed geometry (GGA-PBE).

The mass density is 9.0 g/cm³. The formation energy is -121 meV per atom. The value obtained for the calculated volume is 25.23 Å³/atom.

The space group is P6_3mc (No. 186) and the conventional cell measures 9.7226, 9.7226 and 6.1646 Å, with angles of 90.00, 90.00 and 120.00 degrees. The inequivalent atoms are Er at (0.0782, 0.5391, 0.0000), Er at (0.1274, 0.2548, 0.3039), Er at (0.3333, 0.6667, 0.4911) and Cu at (0.1901, 0.3802, 0.7345).

---

Record 9
Entry from Alexandria: crystalline LiY2Pd4 at its relaxed geometry (GGA-PBE).

The mass density is 7.4 g/cm³. The formation energy is -505 meV per atom. The value obtained for the calculated volume is 19.47 Å³/atom. The value obtained for the energy above the most stable polymorph in this dataset is 0.0533 eV/atom.

The space group is I4/mmm (No. 139) and the conventional cell measures 4.309, 4.309 and 14.682 Å, with angles of 90.00, 90.00 and 90.00 degrees. The inequivalent atoms are Li at (0.000, 0.000, 0.000), Y at (0.000, 0.000, 0.350), Pd at (0.000, 0.000, 0.157) and Pd at (0.000, 0.500, 0.000).

---

Record 10
Entry from Alexandria: crystalline Hf3Pd at its relaxed geometry (GGA-PBE).

The mass density is 13.0 g/cm³. The formation energy is -294 meV per atom. The value obtained for the calculated volume is 20.48 Å³/atom. The value obtained for the energy above the most stable polymorph in this dataset is 0.0683 eV/atom.

The space group is Imm2 (No. 44) and the conventional cell measures 3.167, 9.733 and 5.315 Å, with angles of 90.00, 90.00 and 90.00 degrees. The inequivalent atoms are Hf at (0.000, 0.000, 0.000), Hf at (0.000, 0.219, 0.418) and Pd at (0.000, 0.500, 0.073).

---

Record 11
Entry from Alexandria: crystalline Pm2Ni2Sn at its relaxed geometry (GGA-PBE).

The mass density is 8.0 g/cm³. The formation energy is -542 meV per atom. The value obtained for the calculated volume is 21.78 Å³/atom. The value obtained for the energy above the most stable polymorph in this dataset is 0.0000 eV/atom.

The space group is Cmmm (No. 65) and the conventional cell measures 4.101, 14.151 and 3.753 Å, with angles of 90.00, 90.00 and 90.00 degrees. The inequivalent atoms are Pm at (0.000, 0.136, 0.000), Ni at (0.000, 0.301, 0.500) and Sn at (0.000, 0.500, 0.500).

---

Record 12
Entry from Alexandria: crystalline La2TaCrIn at its relaxed geometry (GGA-PBE).

The mass density is 7.9 g/cm³. The formation energy is 927 meV per atom. The value obtained for the calculated volume is 26.20 Å³/atom.

The space group is P4/mmm (No. 123) and the conventional cell measures 5.030, 5.030 and 5.177 Å, with angles of 90.00, 90.00 and 90.00 degrees. The inequivalent atoms are La at (0.000, 0.500, 0.000), Ta at (0.000, 0.000, 0.500), Cr at (0.500, 0.500, 0.000) and In at (0.500, 0.500, 0.500).

---

Question: Among the records above, which one has the lowest mass density?
Answer: BeIn3Mo